Version A
Entry from the Alexandria database: crystalline Sr3Tl2 at its relaxed geometry (PBE-GGA).

CIF file:
```
data_Sr3Tl2
_symmetry_space_group_name_H-M 'P 1'
_symmetry_Int_Tables_number 1
_cell_length_a 4.3045
_cell_length_b 9.4774
_cell_length_c 9.4774
_cell_angle_alpha 90.00
_cell_angle_beta 90.00
_cell_angle_gamma 90.00
loop_
_symmetry_equiv_pos_as_xyz
'x,y,z'
loop_
_atom_site_label
_atom_site_fract_x
_atom_site_fract_y
_atom_site_fract_z
_atom_site_occupancy
Sr1 0.0000 0.0000 0.0000 1
Sr2 0.0000 0.5000 0.5000 1
Sr3 0.5000 0.1626 0.6626 1
Sr4 0.5000 0.3374 0.1626 1
Sr5 0.5000 0.6626 0.8374 1
Sr6 0.5000 0.8374 0.3374 1
Tl1 0.0000 0.3668 0.8668 1
Tl2 0.0000 0.1332 0.3668 1
Tl3 0.0000 0.8668 0.6332 1
Tl4 0.0000 0.6332 0.1332 1
```

Results
* calculated volume: 386.6 Å³ per cell
* size of the total moment: 0.000 μB/cell



Version B
Entry from the Alexandria database: crystalline Sr3Tl2 at its relaxed geometry (PBE-GGA).

CIF file:
```
data_Sr3Tl2
_symmetry_space_group_name_H-M 'P 1'
_symmetry_Int_Tables_number 1
_cell_length_a 5.7336
_cell_length_b 5.7336
_cell_length_c 7.0836
_cell_angle_alpha 90.00
_cell_angle_beta 90.00
_cell_angle_gamma 120.00
loop_
_symmetry_equiv_pos_as_xyz
'x,y,z'
loop_
_atom_site_label
_atom_site_fract_x
_atom_site_fract_y
_atom_site_fract_z
_atom_site_occupancy
Sr1 0.0000 0.0000 0.0000 1
Sr2 0.6667 0.3333 0.6648 1
Sr3 0.3333 0.6667 0.3352 1
Tl1 0.6667 0.3333 0.1567 1
Tl2 0.3333 0.6667 0.8433 1
```

Results
* calculated volume: 201.7 Å³ per cell
* size of the total moment: 0.000 μB/cell



Version C
Entry from the Alexandria database: crystalline Sr3Tl2 at its relaxed geometry (PBE-GGA).

CIF file:
```
data_Sr3Tl2
_symmetry_space_group_name_H-M 'P 1'
_symmetry_Int_Tables_number 1
_cell_length_a 7.8467
_cell_length_b 7.8467
_cell_length_c 9.0622
_cell_angle_alpha 64.35
_cell_angle_beta 64.35
_cell_angle_gamma 60.00
loop_
_symmetry_equiv_pos_as_xyz
'x,y,z'
loop_
_atom_site_label
_atom_site_fract_x
_atom_site_fract_y
_atom_site_fract_z
_atom_site_occupancy
Sr1 0.1583 0.7500 0.7500 1
Sr2 0.7500 0.3417 0.7500 1
Sr3 0.3417 0.1583 0.7500 1
Sr4 0.2500 0.6583 0.2500 1
Sr5 0.6583 0.8417 0.2500 1
Sr6 0.8417 0.2500 0.2500 1
Tl1 0.8138 0.8138 0.5587 1
Tl2 0.3138 0.3138 0.0587 1
Tl3 0.1862 0.1862 0.4413 1
Tl4 0.6862 0.6862 0.9413 1
```

Results
* calculated volume: 418.5 Å³ per cell
* size of the total moment: 0.006 μB/cell



Most stable structure - version A; separation to the second - 43 meV per atom.